Entry 1:
VASP calculation (PBE-GGA) on an optimized crystal structure of Pm8NiPd2.

The structure in POSCAR format:
```
Pm8NiPd2
1.0
4.509 -6.196 0.000
4.509 6.196 0.000
-2.490 0.000 5.883
Pm Ni Pd
8 1 2
Cartesian
0.000 0.000 0.000
-0.154 1.668 3.368
2.755 1.952 1.329
-0.154 -1.668 3.368
3.189 1.728 5.069
2.755 -1.952 1.329
3.189 -1.728 5.069
5.609 0.000 2.366
0.962 0.000 5.482
1.507 3.873 4.087
1.507 -3.873 4.087
```



Entry 2:
VASP calculation (PBE-GGA) on an optimized crystal structure of Pm5NiPd4.

The structure in POSCAR format:
```
Pm5NiPd4
1.0
3.542 0.000 0.000
0.000 3.542 0.000
0.000 0.000 18.239
Pm Ni Pd
5 1 4
Cartesian
0.000 0.000 0.000
0.000 0.000 3.706
0.000 0.000 7.413
0.000 0.000 10.826
0.000 0.000 14.533
1.771 1.771 9.119
1.771 1.771 1.852
1.771 1.771 5.530
1.771 1.771 12.709
1.771 1.771 16.386
```



Formation energy from the elements readings, ordered: -227, -663 meV per atom
DOS(E_F) readings, ordered: 13.3, 7.3 states/eV/f.u.
Total magnetization readings, ordered: 0.000, 0.000 μB/cell